Record 1
A geometry-optimized CsAg2HgBr6 structure, computed with PBE.

The structure belongs to space group C2/c (No. 15); the cell edges are 14.584, 14.404 and 7.443 Å and the angles 90.00°, 102.35° and 90.00°. The asymmetric unit holds Cs at (0.000, 0.123, 0.250), Ag at (0.234, 0.467, 0.303), Hg at (0.000, 0.320, 0.750), Br at (0.090, 0.337, 0.071), Br at (0.106, 0.110, 0.738) and Br at (0.212, 0.385, 0.600).

The calculation puts the volume at 1527.3 Å³/cell. For the formation energy (no corrections), the calculation gives -0.589 eV/atom. The density of states at the Fermi level comes out at 0.54 states/eV/atom.

---

Record 2
A geometry-optimized Cs2AgHg2Br6 structure, computed with PBE.

The structure belongs to space group C2/m (No. 12); the cell edges are 14.246, 8.174 and 8.743 Å and the angles 90.00°, 119.98° and 90.00°. The asymmetric unit holds Cs at (0.222, 0.000, 0.201), Ag at (0.000, 0.000, 0.500), Hg at (0.048, 0.500, 0.184), Br at (0.046, 0.227, 0.767) and Br at (0.235, 0.000, 0.630).

The calculation puts the volume at 881.8 Å³/cell. For the formation energy (no corrections), the calculation gives -0.872 eV/atom. The density of states at the Fermi level comes out at 0.20 states/eV/atom.

---

Record 3
A geometry-optimized CsHoAg2Br6 structure, computed with PBE.

The structure belongs to space group C2/c (No. 15); the cell edges are 14.919, 13.840 and 9.074 Å and the angles 90.00°, 115.84° and 90.00°. The asymmetric unit holds Cs at (0.000, 0.168, 0.250), Ho at (0.000, 0.182, 0.750), Ag at (0.084, 0.463, 0.146), Br at (0.116, 0.070, 0.674), Br at (0.119, 0.281, 0.015) and Br at (0.128, 0.417, 0.458).

The calculation puts the volume at 1686.3 Å³/cell. For the formation energy (no corrections), the calculation gives -1.174 eV/atom. The density of states at the Fermi level comes out at 0.00 states/eV/atom.

---

Record 4
A geometry-optimized Cs2HoAg2Br6 structure, computed with PBE.

The structure belongs to space group C2/m (No. 12); the cell edges are 14.069, 8.136 and 9.149 Å and the angles 90.00°, 122.25° and 90.00°. The asymmetric unit holds Cs at (0.213, 0.000, 0.185), Ho at (0.000, 0.000, 0.500), Ag at (0.048, 0.500, 0.175), Br at (0.055, 0.236, 0.758) and Br at (0.223, 0.000, 0.589).

The calculation puts the volume at 885.7 Å³/cell. For the formation energy (no corrections), the calculation gives -1.267 eV/atom. The density of states at the Fermi level comes out at 0.18 states/eV/atom.

---

Record 5
A geometry-optimized CsHo2AgBr8 structure, computed with PBE.

The structure belongs to space group R-3 (No. 148, hexagonal axes); the cell edges are 7.5380, 7.5380 and 27.0053 Å and the angles 90.00°, 90.00° and 120.00°. The asymmetric unit holds Cs at (0.0000, 0.0000, 0.0000), Ho at (0.0000, 0.0000, 0.1962), Ag at (0.0000, 0.0000, 0.5000), Br at (0.0000, 0.0000, 0.2961) and Br at (0.0226, 0.2938, 0.1189).

The calculation puts the volume at 1328.9 Å³/cell. For the formation energy (no corrections), the calculation gives -1.568 eV/atom. The density of states at the Fermi level comes out at 0.00 states/eV/atom.

---

Record 6
A geometry-optimized CsHoAgBr5 structure, computed with PBE.

The structure belongs to space group C2/c (No. 15); the cell edges are 9.497, 13.184 and 10.756 Å and the angles 90.00°, 110.77° and 90.00°. The asymmetric unit holds Cs at (0.000, 0.157, 0.250), Ho at (0.000, 0.500, 0.000), Ag at (0.000, 0.189, 0.750), Br at (0.000, 0.437, 0.250), Br at (0.097, 0.304, 0.587) and Br at (0.201, 0.063, 0.935).

The calculation puts the volume at 1259.1 Å³/cell. For the formation energy (no corrections), the calculation gives -1.484 eV/atom. The density of states at the Fermi level comes out at 0.00 states/eV/atom.

---

Record 7
A geometry-optimized Cs2HoAgBr6 structure, computed with PBE.

The structure belongs to space group I4/mmm (No. 139); the cell edges are 8.018, 8.018 and 11.427 Å and the angles 90.00°, 90.00° and 90.00°. The asymmetric unit holds Cs at (0.000, 0.500, 0.250), Ho at (0.000, 0.000, 0.000), Ag at (0.000, 0.000, 0.500), Br at (0.000, 0.000, 0.244) and Br at (0.246, 0.246, 0.000).

The calculation puts the volume at 734.6 Å³/cell. For the formation energy (no corrections), the calculation gives -1.571 eV/atom. The density of states at the Fermi level comes out at 0.00 states/eV/atom.

---

Record 8
A geometry-optimized Cs4AgIBr2 structure, computed with PBE.

The structure belongs to space group P2/m (No. 10); the cell edges are 9.280, 5.339 and 9.341 Å and the angles 90.00°, 109.19° and 90.00°. The asymmetric unit holds Cs at (0.243, 0.000, 0.235), Cs at (0.254, 0.500, 0.765), Ag at (0.000, 0.000, 0.500), I at (0.500, 0.500, 0.500), Br at (0.000, 0.500, 0.000) and Br at (0.500, 0.000, 0.000).

The calculation puts the volume at 437.1 Å³/cell. For the formation energy (no corrections), the calculation gives -1.253 eV/atom. The density of states at the Fermi level comes out at 0.00 states/eV/atom.